No. 1
This record from Alexandria describes an optimized crystal structure of MgBe3. The functional is GGA-PBE.

The structure belongs to space group C2/m (No. 12); the cell edges are 10.793, 3.578 and 4.787 Å and the angles 90.00°, 93.42° and 90.00°. The asymmetric unit holds Mg at (0.140, 0.000, 0.021), Be at (0.003, 0.500, 0.713), Be at (0.094, 0.000, 0.510) and Be at (0.197, 0.500, 0.499).

For the spin magnetization, the calculation gives 0.00 μB per cell. The formation energy comes out at 136 meV per atom.



No. 2
This record from Alexandria describes an optimized crystal structure of MgBe2. The functional is GGA-PBE.

The structure belongs to space group P6/mmm (No. 191); the cell edges are 3.9432, 3.9432 and 2.8280 Å and the angles 90.00°, 90.00° and 120.00°. The asymmetric unit holds Mg at (0.0000, 0.0000, 0.0000) and Be at (0.3333, 0.6667, 0.5000).

For the spin magnetization, the calculation gives 0.00 μB per cell. The formation energy comes out at 328 meV per atom.



No. 3
This record from Alexandria describes an optimized crystal structure of Mg4Be. The functional is GGA-PBE.

The structure belongs to space group I4/mmm (No. 139); the cell edges are 3.812, 3.812 and 15.558 Å and the angles 90.00°, 90.00° and 90.00°. The asymmetric unit holds Mg at (0.000, 0.000, 0.090), Mg at (0.000, 0.500, 0.250) and Be at (0.000, 0.000, 0.500).

For the spin magnetization, the calculation gives 0.00 μB per cell. The formation energy comes out at 575 meV per atom.



No. 4
This record from Alexandria describes an optimized crystal structure of MgBe2. The functional is GGA-PBE.

The structure belongs to space group Cmcm (No. 63); the cell edges are 2.789, 14.814 and 3.733 Å and the angles 90.00°, 90.00° and 90.00°. The asymmetric unit holds Mg at (0.000, 0.079, 0.250), Be at (0.000, 0.264, 0.750) and Be at (0.000, 0.351, 0.250).

For the spin magnetization, the calculation gives 0.00 μB per cell. The formation energy comes out at 298 meV per atom.



No. 5
This record from Alexandria describes an optimized crystal structure of Mg2Be. The functional is GGA-PBE.

The structure belongs to space group P6_3/mmc (No. 194); the cell edges are 5.5012, 5.5012 and 9.1000 Å and the angles 90.00°, 90.00° and 120.00°. The asymmetric unit holds Mg at (0.0000, 0.0000, 0.0000), Mg at (0.1715, 0.3430, 0.2500) and Be at (0.3333, 0.6667, 0.5202).

For the spin magnetization, the calculation gives 0.00 μB per cell. The formation energy comes out at 731 meV per atom.



No. 6
This record from Alexandria describes an optimized crystal structure of Mg3Be. The functional is GGA-PBE.

The structure belongs to space group Pnma (No. 62); the cell edges are 7.468, 7.952 and 5.154 Å and the angles 90.00°, 90.00° and 90.00°. The asymmetric unit holds Mg at (0.028, 0.250, 0.099), Mg at (0.170, 0.063, 0.618) and Be at (0.131, 0.750, 0.435).

For the spin magnetization, the calculation gives 0.00 μB per cell. The formation energy comes out at 161 meV per atom.



No. 7
This record from Alexandria describes an optimized crystal structure of MgBe2. The functional is GGA-PBE.

The structure belongs to space group Cmcm (No. 63); the cell edges are 2.972, 16.733 and 3.241 Å and the angles 90.00°, 90.00° and 90.00°. The asymmetric unit holds Mg at (0.000, 0.184, 0.250), Be at (0.000, 0.047, 0.750) and Be at (0.000, 0.455, 0.750).

For the spin magnetization, the calculation gives 0.00 μB per cell. The formation energy comes out at 252 meV per atom.



No. 8
This record from Alexandria describes an optimized crystal structure of MgMn2Be. The functional is GGA-PBE.

The structure belongs to space group Fm-3m (No. 225); the cell edges are 5.888, 5.888 and 5.888 Å and the angles 90.00°, 90.00° and 90.00°. The asymmetric unit holds Mg at (0.000, 0.000, 0.000), Mn at (0.250, 0.250, 0.250) and Be at (0.000, 0.000, 0.500).

For the spin magnetization, the calculation gives 22.10 μB per cell. The formation energy comes out at 272 meV per atom.



No. 9
This record from Alexandria describes an optimized crystal structure of Mg2MnBe. The functional is GGA-PBE.

The structure belongs to space group C2 (No. 5); the cell edges are 6.240, 6.314 and 4.439 Å and the angles 90.00°, 134.56° and 90.00°. The asymmetric unit holds Mg at (0.000, 0.000, 0.000), Mg at (0.000, 0.251, 0.500), Mn at (0.000, 0.501, 0.000) and Be at (0.000, 0.749, 0.500).

For the spin magnetization, the calculation gives 6.96 μB per cell. The formation energy comes out at 305 meV per atom.



No. 10
This record from Alexandria describes an optimized crystal structure of Mg2MnBe. The functional is GGA-PBE.

The structure belongs to space group R-3m (No. 166, hexagonal axes); the cell edges are 2.9002, 2.9002 and 26.9621 Å and the angles 90.00°, 90.00° and 120.00°. The asymmetric unit holds Mg at (0.0000, 0.0000, 0.2454), Mn at (0.0000, 0.0000, 0.0000) and Be at (0.0000, 0.0000, 0.5000).

For the spin magnetization, the calculation gives 10.74 μB per cell. The formation energy comes out at 474 meV per atom.



No. 11
This record from Alexandria describes an optimized crystal structure of Mg3MnBe. The functional is GGA-PBE.

The structure belongs to space group Pm-3m (No. 221); the cell edges are 4.832, 4.832 and 4.832 Å and the angles 90.00°, 90.00° and 90.00°. The asymmetric unit holds Mg at (0.000, 0.000, 0.500), Mn at (0.000, 0.000, 0.000) and Be at (0.500, 0.500, 0.500).

For the spin magnetization, the calculation gives 0.05 μB per cell. The formation energy comes out at 1278 meV per atom.



No. 12
This record from Alexandria describes an optimized crystal structure of MgMnBe. The functional is GGA-PBE.

The structure belongs to space group F-43m (No. 216); the cell edges are 5.713, 5.713 and 5.713 Å and the angles 90.00°, 90.00° and 90.00°. The asymmetric unit holds Mg at (0.000, 0.000, 0.000), Mn at (0.000, 0.000, 0.500) and Be at (0.250, 0.250, 0.750).

For the spin magnetization, the calculation gives 11.59 μB per cell. The formation energy comes out at 476 meV per atom.



No. 13
This record from Alexandria describes an optimized crystal structure of MgMnBe4. The functional is GGA-PBE.

The structure belongs to space group F-43m (No. 216); the cell edges are 6.274, 6.274 and 6.274 Å and the angles 90.00°, 90.00° and 90.00°. The asymmetric unit holds Mg at (0.000, 0.000, 0.000), Mn at (0.250, 0.250, 0.250) and Be at (0.123, 0.123, 0.623).

For the spin magnetization, the calculation gives 11.71 μB per cell. The formation energy comes out at -29 meV per atom.



No. 14
This record from Alexandria describes an optimized crystal structure of MgMn2Be. The functional is GGA-PBE.

The structure belongs to space group R-3m (No. 166, hexagonal axes); the cell edges are 2.7647, 2.7647 and 24.7951 Å and the angles 90.00°, 90.00° and 120.00°. The asymmetric unit holds Mg at (0.0000, 0.0000, 0.0000), Mn at (0.0000, 0.0000, 0.2367) and Be at (0.0000, 0.0000, 0.5000).

For the spin magnetization, the calculation gives 18.11 μB per cell. The formation energy comes out at 342 meV per atom.



No. 15
This record from Alexandria describes an optimized crystal structure of MgMn2Be. The functional is GGA-PBE.

The structure belongs to space group P4mm (No. 99); the cell edges are 2.803, 2.803 and 6.171 Å and the angles 90.00°, 90.00° and 90.00°. The asymmetric unit holds Mg at (0.000, 0.000, 0.000), Mn at (0.000, 0.000, 0.509), Mn at (0.500, 0.500, 0.310) and Be at (0.500, 0.500, 0.707).

For the spin magnetization, the calculation gives 0.01 μB per cell. The formation energy comes out at 73 meV per atom.



No. 16
This record from Alexandria describes an optimized crystal structure of MgMn2Be. The functional is GGA-PBE.

The structure belongs to space group P4/mmm (No. 123); the cell edges are 3.906, 3.906 and 3.443 Å and the angles 90.00°, 90.00° and 90.00°. The asymmetric unit holds Mg at (0.000, 0.000, 0.000), Mn at (0.000, 0.500, 0.500) and Be at (0.500, 0.500, 0.000).

For the spin magnetization, the calculation gives 5.82 μB per cell. The formation energy comes out at 289 meV per atom.



No. 17
This record from Alexandria describes an optimized crystal structure of MgMn2Be. The functional is GGA-PBE.

The structure belongs to space group F-43m (No. 216); the cell edges are 5.818, 5.818 and 5.818 Å and the angles 90.00°, 90.00° and 90.00°. The asymmetric unit holds Mg at (0.000, 0.000, 0.000), Mn at (0.000, 0.000, 0.500), Mn at (0.250, 0.250, 0.750) and Be at (0.250, 0.250, 0.250).

For the spin magnetization, the calculation gives 0.02 μB per cell. The formation energy comes out at 157 meV per atom.



No. 18
This record from Alexandria describes an optimized crystal structure of MgMn2Be2. The functional is GGA-PBE.

The structure belongs to space group P4/mbm (No. 127); the cell edges are 6.484, 6.484 and 2.794 Å and the angles 90.00°, 90.00° and 90.00°. The asymmetric unit holds Mg at (0.000, 0.000, 0.000), Mn at (0.172, 0.328, 0.500) and Be at (0.117, 0.617, 0.000).

For the spin magnetization, the calculation gives 9.88 μB per cell. The formation energy comes out at 52 meV per atom.



No. 19
This record from Alexandria describes an optimized crystal structure of Mg2MnBe. The functional is GGA-PBE.

The structure belongs to space group C2/m (No. 12); the cell edges are 9.984, 3.125 and 4.464 Å and the angles 90.00°, 115.80° and 90.00°. The asymmetric unit holds Mg at (0.231, 0.000, 0.231), Mn at (0.000, 0.000, 0.500) and Be at (0.000, 0.500, 0.000).

For the spin magnetization, the calculation gives 6.47 μB per cell. The formation energy comes out at 375 meV per atom.



No. 20
This record from Alexandria describes an optimized crystal structure of MgMn2Be. The functional is GGA-PBE.

The structure belongs to space group I-4m2 (No. 119); the cell edges are 3.712, 3.712 and 7.715 Å and the angles 90.00°, 90.00° and 90.00°. The asymmetric unit holds Mg at (0.000, 0.000, 0.000), Mn at (0.000, 0.000, 0.500), Mn at (0.000, 0.500, 0.750) and Be at (0.000, 0.500, 0.250).

For the spin magnetization, the calculation gives 11.46 μB per cell. The formation energy comes out at 379 meV per atom.



The calculation returns the following VASP energy values, one per record and in order: -3.057 -2.688 -1.446 -2.718 -1.574 -1.967 -2.763 -5.643 -3.717 -3.547 -2.258 -4.354 -4.307 -5.573 -5.842 -5.626 -5.758 -5.426 -3.646 -5.536 eV per atom.